Record 1
# SrZr2AsBr PBE optimized geometry
data_SrZr2AsBr
_space_group_name_H-M_alt 'P 4/m m m'
_space_group_IT_number 123
_space_group_name_Hall '-P 4 2'
_cell_length_a 4.9768
_cell_length_b 4.9768
_cell_length_c 5.7390
_cell_angle_alpha 90.00
_cell_angle_beta 90.00
_cell_angle_gamma 90.00
loop_
_atom_site_label
_atom_site_fract_x
_atom_site_fract_y
_atom_site_fract_z
Sr1 0.0000 0.0000 0.0000
Zr1 0.0000 0.5000 0.5000
As1 0.5000 0.5000 0.0000
Br1 0.0000 0.0000 0.5000
# * magnetic moment: 0.00 μB per formula unit
# * E_form (uncorrected): 282 meV/atom


Record 2
# TaAsBr2 PBE optimized geometry
data_TaAsBr2
_space_group_name_H-M_alt 'R -3 m'
_space_group_IT_number 166
_space_group_name_Hall '-R 3 2"'
_cell_length_a 3.2872
_cell_length_b 3.2872
_cell_length_c 29.7386
_cell_angle_alpha 90.00
_cell_angle_beta 90.00
_cell_angle_gamma 120.00
loop_
_atom_site_label
_atom_site_fract_x
_atom_site_fract_y
_atom_site_fract_z
Ta1 0.0000 0.0000 0.0000
As1 0.0000 0.0000 0.5000
Br1 0.0000 0.0000 0.0827
# * magnetic moment: 0.00 μB per formula unit
# * E_form (uncorrected): 474 meV/atom


Record 3
# TaAsBr PBE optimized geometry
data_TaAsBr
_space_group_name_H-M_alt 'F -4 3 m'
_space_group_IT_number 216
_space_group_name_Hall 'F -4 2 3'
_cell_length_a 6.4557
_cell_length_b 6.4557
_cell_length_c 6.4557
_cell_angle_alpha 90.00
_cell_angle_beta 90.00
_cell_angle_gamma 90.00
loop_
_atom_site_label
_atom_site_fract_x
_atom_site_fract_y
_atom_site_fract_z
Ta1 0.0000 0.0000 0.0000
As1 0.2500 0.2500 0.2500
Br1 0.2500 0.2500 0.7500
# * magnetic moment: 1.06 μB per formula unit
# * E_form (uncorrected): 248 meV/atom


Record 4
# TaAsBr2 PBE optimized geometry
data_TaAsBr2
_space_group_name_H-M_alt 'C m m m'
_space_group_IT_number 65
_space_group_name_Hall '-C 2 2'
_cell_length_a 5.0992
_cell_length_b 14.6949
_cell_length_c 3.3166
_cell_angle_alpha 90.00
_cell_angle_beta 90.00
_cell_angle_gamma 90.00
loop_
_atom_site_label
_atom_site_fract_x
_atom_site_fract_y
_atom_site_fract_z
Ta1 0.0000 0.0000 0.0000
As1 0.0000 0.5000 0.0000
Br1 0.0000 0.1398 0.5000
# * magnetic moment: 0.00 μB per formula unit
# * E_form (uncorrected): -293 meV/atom


Record 5
# TaAs2Br PBE optimized geometry
data_TaAs2Br
_space_group_name_H-M_alt 'F m -3 m'
_space_group_IT_number 225
_space_group_name_Hall '-F 4 2 3'
_cell_length_a 6.7545
_cell_length_b 6.7545
_cell_length_c 6.7545
_cell_angle_alpha 90.00
_cell_angle_beta 90.00
_cell_angle_gamma 90.00
loop_
_atom_site_label
_atom_site_fract_x
_atom_site_fract_y
_atom_site_fract_z
Ta1 0.0000 0.0000 0.0000
As1 0.2500 0.2500 0.2500
Br1 0.0000 0.0000 0.5000
# * magnetic moment: 0.00 μB per formula unit
# * E_form (uncorrected): 637 meV/atom


Record 6
# TaAsBr2 PBE optimized geometry
data_TaAsBr2
_space_group_name_H-M_alt 'C m m m'
_space_group_IT_number 65
_space_group_name_Hall '-C 2 2'
_cell_length_a 6.1532
_cell_length_b 8.6622
_cell_length_c 3.1056
_cell_angle_alpha 90.00
_cell_angle_beta 90.00
_cell_angle_gamma 90.00
loop_
_atom_site_label
_atom_site_fract_x
_atom_site_fract_y
_atom_site_fract_z
Ta1 0.0000 0.0000 0.0000
As1 0.0000 0.5000 0.0000
Br1 0.2500 0.2500 0.5000
# * magnetic moment: 0.00 μB per formula unit
# * E_form (uncorrected): 847 meV/atom


Record 7
# TaAsBr2 PBE optimized geometry
data_TaAsBr2
_space_group_name_H-M_alt 'C m m m'
_space_group_IT_number 65
_space_group_name_Hall '-C 2 2'
_cell_length_a 3.0469
_cell_length_b 5.9186
_cell_length_c 12.3527
_cell_angle_alpha 90.00
_cell_angle_beta 90.00
_cell_angle_gamma 90.00
loop_
_atom_site_label
_atom_site_fract_x
_atom_site_fract_y
_atom_site_fract_z
Ta1 0.0000 0.0000 0.0000
As1 0.0000 0.0000 0.5000
Br1 0.0000 0.5000 0.1727
# * magnetic moment: 0.00 μB per formula unit
# * E_form (uncorrected): 270 meV/atom


Record 8
# TaAs2Br PBE optimized geometry
data_TaAs2Br
_space_group_name_H-M_alt 'F -4 3 m'
_space_group_IT_number 216
_space_group_name_Hall 'F -4 2 3'
_cell_length_a 6.6734
_cell_length_b 6.6734
_cell_length_c 6.6734
_cell_angle_alpha 90.00
_cell_angle_beta 90.00
_cell_angle_gamma 90.00
loop_
_atom_site_label
_atom_site_fract_x
_atom_site_fract_y
_atom_site_fract_z
Ta1 0.0000 0.0000 0.0000
As1 0.0000 0.0000 0.5000
As2 0.2500 0.2500 0.2500
Br1 0.2500 0.2500 0.7500
# * magnetic moment: 0.00 μB per formula unit
# * E_form (uncorrected): 471 meV/atom


Record 9
# TaAsBr2 PBE optimized geometry
data_TaAsBr2
_space_group_name_H-M_alt 'F m -3 m'
_space_group_IT_number 225
_space_group_name_Hall '-F 4 2 3'
_cell_length_a 6.7626
_cell_length_b 6.7626
_cell_length_c 6.7626
_cell_angle_alpha 90.00
_cell_angle_beta 90.00
_cell_angle_gamma 90.00
loop_
_atom_site_label
_atom_site_fract_x
_atom_site_fract_y
_atom_site_fract_z
Ta1 0.0000 0.0000 0.0000
As1 0.0000 0.0000 0.5000
Br1 0.2500 0.2500 0.2500
# * magnetic moment: 0.00 μB per formula unit
# * E_form (uncorrected): 695 meV/atom


Record 10
# TaAsBr2 PBE optimized geometry
data_TaAsBr2
_space_group_name_H-M_alt 'I m m 2'
_space_group_IT_number 44
_cell_length_a 3.1230
_cell_length_b 5.1779
_cell_length_c 14.3321
_cell_angle_alpha 90.00
_cell_angle_beta 90.00
_cell_angle_gamma 90.00
loop_
_space_group_symop_operation_xyz
'x,y,z'
'-x,-y,z'
'-x,y,z'
'x,-y,z'
'x+1/2,y+1/2,z+1/2'
'-x+1/2,-y+1/2,z+1/2'
'-x+1/2,y+1/2,z+1/2'
'x+1/2,-y+1/2,z+1/2'
loop_
_atom_site_label
_atom_site_fract_x
_atom_site_fract_y
_atom_site_fract_z
Ta1 0.0000 0.0000 0.0000
As1 0.0000 0.5000 0.6498
Br1 0.0000 0.0000 0.5157
Br2 0.0000 0.5000 0.3548
# * magnetic moment: 0.25 μB per formula unit
# * E_form (uncorrected): 2 meV/atom


Record 11
# TaAs4Br PBE optimized geometry
data_TaAs4Br
_space_group_name_H-M_alt 'F -4 3 m'
_space_group_IT_number 216
_space_group_name_Hall 'F -4 2 3'
_cell_length_a 7.8227
_cell_length_b 7.8227
_cell_length_c 7.8227
_cell_angle_alpha 90.00
_cell_angle_beta 90.00
_cell_angle_gamma 90.00
loop_
_atom_site_label
_atom_site_fract_x
_atom_site_fract_y
_atom_site_fract_z
Ta1 0.0000 0.0000 0.0000
As1 0.1269 0.1269 0.6269
Br1 0.2500 0.2500 0.2500
# * magnetic moment: 0.00 μB per formula unit
# * E_form (uncorrected): 679 meV/atom


Record 12
# TaAs2Br PBE optimized geometry
data_TaAs2Br
_space_group_name_H-M_alt 'C 1 m 1'
_space_group_IT_number 8
_cell_length_a 9.0948
_cell_length_b 3.5572
_cell_length_c 7.2738
_cell_angle_alpha 90.00
_cell_angle_beta 106.19
_cell_angle_gamma 90.00
loop_
_space_group_symop_operation_xyz
'x,y,z'
'x,-y,z'
'x+1/2,y+1/2,z'
'x+1/2,-y+1/2,z'
loop_
_atom_site_label
_atom_site_fract_x
_atom_site_fract_y
_atom_site_fract_z
Ta1 0.0000 0.0000 0.0000
As1 0.0463 0.5000 0.2715
As2 0.2142 0.5000 0.0510
Br1 0.3520 0.0000 0.7229
# * magnetic moment: 0.00 μB per formula unit
# * E_form (uncorrected): -256 meV/atom


Record 13
# TaAs2Br PBE optimized geometry
data_TaAs2Br
_space_group_name_H-M_alt 'C 1 2/m 1'
_space_group_IT_number 12
_cell_length_a 7.8743
_cell_length_b 7.3881
_cell_length_c 3.0293
_cell_angle_alpha 90.00
_cell_angle_beta 112.32
_cell_angle_gamma 90.00
loop_
_space_group_symop_operation_xyz
'x,y,z'
'-x,-y,-z'
'-x,y,-z'
'x,-y,z'
'x+1/2,y+1/2,z'
'-x+1/2,-y+1/2,-z'
'-x+1/2,y+1/2,-z'
'x+1/2,-y+1/2,z'
loop_
_atom_site_label
_atom_site_fract_x
_atom_site_fract_y
_atom_site_fract_z
Ta1 0.0000 0.0000 0.0000
As1 0.2500 0.2500 0.5000
Br1 0.0000 0.5000 0.0000
# * magnetic moment: 0.00 μB per formula unit
# * E_form (uncorrected): 397 meV/atom


Record 14
# TaAs2Br PBE optimized geometry
data_TaAs2Br
_space_group_name_H-M_alt 'R -3 m'
_space_group_IT_number 166
_space_group_name_Hall '-R 3 2"'
_cell_length_a 3.4310
_cell_length_b 3.4310
_cell_length_c 24.9479
_cell_angle_alpha 90.00
_cell_angle_beta 90.00
_cell_angle_gamma 120.00
loop_
_atom_site_label
_atom_site_fract_x
_atom_site_fract_y
_atom_site_fract_z
Ta1 0.0000 0.0000 0.0000
As1 0.0000 0.0000 0.2637
Br1 0.0000 0.0000 0.5000
# * magnetic moment: 0.00 μB per formula unit
# * E_form (uncorrected): -42 meV/atom


Record 15
# TaAsBr4 PBE optimized geometry
data_TaAsBr4
_space_group_name_H-M_alt 'F -4 3 m'
_space_group_IT_number 216
_space_group_name_Hall 'F -4 2 3'
_cell_length_a 8.3868
_cell_length_b 8.3868
_cell_length_c 8.3868
_cell_angle_alpha 90.00
_cell_angle_beta 90.00
_cell_angle_gamma 90.00
loop_
_atom_site_label
_atom_site_fract_x
_atom_site_fract_y
_atom_site_fract_z
Ta1 0.0000 0.0000 0.0000
As1 0.2500 0.2500 0.7500
Br1 0.1256 0.1256 0.3744
# * magnetic moment: 1.16 μB per formula unit
# * E_form (uncorrected): 1380 meV/atom